<1>
! YTl2Br (PBE, relaxed); values from VASP
&SYSTEM
  ibrav = 0, nat = 4, ntyp = 3
/
ATOMIC_SPECIES
Br 79.90 Br.upf
Y 88.91 Y.upf
Tl 204.38 Tl.upf
CELL_PARAMETERS angstrom
4.5095 0.0000 0.0000
0.0000 4.5095 0.0000
0.0000 0.0000 5.9854
ATOMIC_POSITIONS angstrom
Br 2.2547 2.2547 4.4890
Y 2.2547 2.2547 1.4963
Tl 0.0000 0.0000 0.0316
Tl 0.0000 0.0000 2.9611
! * volume: 30.428 Å³/atom
! * Fermi-level density of states: 5.28 states/eV/cell
! * theoretical density: 7.880 g cm⁻³

---

<2>
! YTl2Br (PBE, relaxed); values from VASP
&SYSTEM
  ibrav = 0, nat = 4, ntyp = 3
/
ATOMIC_SPECIES
Y 88.91 Y.upf
Br 79.90 Br.upf
Tl 204.38 Tl.upf
CELL_PARAMETERS angstrom
-0.2481 0.5028 -3.4817
5.2189 -1.4085 -0.5753
-1.6047 -5.6587 -0.7029
ATOMIC_POSITIONS angstrom
Y -0.9264 -2.5780 -2.0923
Br 1.8071 -3.5336 -0.6391
Tl 2.4854 -0.4529 -2.0285
Tl 0.0000 0.0000 0.0000
! * volume: 28.391 Å³/atom
! * Fermi-level density of states: 2.31 states/eV/cell
! * theoretical density: 8.445 g cm⁻³

---

<3>
! YTl2Br (PBE, relaxed); values from VASP
&SYSTEM
  ibrav = 0, nat = 4, ntyp = 3
/
ATOMIC_SPECIES
Tl 204.38 Tl.upf
Y 88.91 Y.upf
Br 79.90 Br.upf
CELL_PARAMETERS angstrom
-1.6263 4.9619 -1.9643
-3.4547 -0.5852 1.3820
-1.4494 1.9749 6.1886
ATOMIC_POSITIONS angstrom
Tl -2.1737 0.7208 3.6205
Tl -0.2784 -0.0260 0.1648
Y -2.0392 2.8283 0.9105
Br -4.4912 3.5232 4.6958
! * volume: 30.385 Å³/atom
! * Fermi-level density of states: 2.00 states/eV/cell
! * theoretical density: 7.891 g cm⁻³

---

We find <2> to be the most stable, with the next structure 0.060 eV/atom higher.

---

<1>
! YTl2Br (PBE, relaxed); values from VASP
&SYSTEM
  ibrav = 0, nat = 4, ntyp = 3
/
ATOMIC_SPECIES
Tl 204.38 Tl.upf
Br 79.90 Br.upf
Y 88.91 Y.upf
CELL_PARAMETERS angstrom
-2.0391 -3.0503 0.6667
2.9821 -0.3156 -2.2167
5.6889 -2.0659 7.9472
ATOMIC_POSITIONS angstrom
Tl 5.6390 -2.0478 7.8776
Tl 2.8942 -1.0510 4.0432
Br 4.7381 -3.2324 5.1854
Y 1.8937 -2.1994 1.2118
! * volume: 30.574 Å³/atom
! * Fermi-level density of states: 3.40 states/eV/cell
! * theoretical density: 7.842 g cm⁻³

---

<2>
! YTl2Br (PBE, relaxed); values from VASP
&SYSTEM
  ibrav = 0, nat = 4, ntyp = 3
/
ATOMIC_SPECIES
Tl 204.38 Tl.upf
Br 79.90 Br.upf
Y 88.91 Y.upf
CELL_PARAMETERS angstrom
-3.6691 -0.1653 -0.6582
0.4790 -5.3806 -1.3186
-0.8907 -1.3811 5.3121
ATOMIC_POSITIONS angstrom
Tl 0.0000 0.0000 0.0000
Tl -0.2059 -3.3809 1.9967
Br -2.2799 -0.7732 2.3269
Y -1.5951 -2.7730 -0.9884
! * volume: 28.843 Å³/atom
! * Fermi-level density of states: 3.09 states/eV/cell
! * theoretical density: 8.313 g cm⁻³

---

<3>
! YTl2Br (PBE, relaxed); values from VASP
&SYSTEM
  ibrav = 0, nat = 4, ntyp = 3
/
ATOMIC_SPECIES
Tl 204.38 Tl.upf
Br 79.90 Br.upf
Y 88.91 Y.upf
CELL_PARAMETERS angstrom
6.7273 0.0213 -0.0029
3.3084 5.8575 0.0029
-4.2558 -4.2403 3.0273
ATOMIC_POSITIONS angstrom
Tl 9.9988 5.8572 0.0000
Tl 2.2260 2.3901 1.5151
Br 3.3760 -0.8558 1.5122
Y 5.2326 3.0652 0.0000
! * volume: 29.782 Å³/atom
! * Fermi-level density of states: 2.58 states/eV/cell
! * theoretical density: 8.051 g cm⁻³

---

We find <3> to be the most stable, with the next structure 0.129 eV/atom higher.

---

<1>
! YTl2Br (PBE, relaxed); values from VASP
&SYSTEM
  ibrav = 0, nat = 8, ntyp = 3
/
ATOMIC_SPECIES
Y 88.91 Y.upf
Tl 204.38 Tl.upf
Br 79.90 Br.upf
CELL_PARAMETERS angstrom
10.0058 0.0000 0.0000
0.0000 10.0058 0.0000
5.0029 5.0029 2.7989
ATOMIC_POSITIONS angstrom
Y 0.0000 0.0000 0.0000
Y 10.0058 5.0029 1.3995
Tl 12.5073 13.1307 2.0992
Tl 1.8780 7.5044 0.6997
Tl 7.5044 6.8809 2.0992
Tl 8.1278 2.5015 0.6997
Br 5.0029 5.0029 0.0000
Br 5.0029 10.0058 1.3995
! * volume: 35.027 Å³/atom
! * Fermi-level density of states: 2.97 states/eV/cell
! * theoretical density: 6.845 g cm⁻³

---

<2>
! YTl2Br (PBE, relaxed); values from VASP
&SYSTEM
  ibrav = 0, nat = 4, ntyp = 3
/
ATOMIC_SPECIES
Tl 204.38 Tl.upf
Br 79.90 Br.upf
Y 88.91 Y.upf
CELL_PARAMETERS angstrom
7.7577 -0.0179 -0.0333
6.9608 3.4249 -0.0333
1.5034 0.3480 4.5414
ATOMIC_POSITIONS angstrom
Tl 14.0401 3.2500 0.1703
Tl 8.7894 2.0346 2.0005
Br 12.1665 2.8163 3.3561
Y 4.0555 0.9388 1.1187
! * volume: 30.352 Å³/atom
! * Fermi-level density of states: 3.19 states/eV/cell
! * theoretical density: 7.900 g cm⁻³

---

<3>
! YTl2Br (PBE, relaxed); values from VASP
&SYSTEM
  ibrav = 0, nat = 4, ntyp = 3
/
ATOMIC_SPECIES
Tl 204.38 Tl.upf
Br 79.90 Br.upf
Y 88.91 Y.upf
CELL_PARAMETERS angstrom
-1.4409 -9.9450 -0.7099
-0.4706 -9.6392 2.8893
-4.0156 -9.0515 1.8517
ATOMIC_POSITIONS angstrom
Tl -5.9101 -28.5533 4.0195
Tl -2.9806 -14.4004 2.0272
Br -1.4818 -7.1589 1.0078
Y -4.4454 -21.4768 3.0233
! * volume: 29.802 Å³/atom
! * Fermi-level density of states: 2.97 states/eV/cell
! * theoretical density: 8.045 g cm⁻³

---

<4>
! YTl2Br (PBE, relaxed); values from VASP
&SYSTEM
  ibrav = 0, nat = 4, ntyp = 3
/
ATOMIC_SPECIES
Br 79.90 Br.upf
Y 88.91 Y.upf
Tl 204.38 Tl.upf
CELL_PARAMETERS angstrom
-2.5409 -4.8584 -3.5167
2.9199 -2.4314 -5.2906
1.3100 1.5721 6.1839
ATOMIC_POSITIONS angstrom
Br -0.5207 -3.4656 -0.8682
Y 2.2097 -2.2521 -1.7552
Tl 0.1895 -3.6449 -4.4036
Tl 0.0000 0.0000 0.0000
! * volume: 27.781 Å³/atom
! * Fermi-level density of states: 3.82 states/eV/cell
! * theoretical density: 8.631 g cm⁻³

---

We find <2> to be the most stable, with the next structure 0.103 eV/atom higher.

---

<1>
! YTl2Br (PBE, relaxed); values from VASP
&SYSTEM
  ibrav = 0, nat = 4, ntyp = 3
/
ATOMIC_SPECIES
Y 88.91 Y.upf
Tl 204.38 Tl.upf
Br 79.90 Br.upf
CELL_PARAMETERS angstrom
-2.3303 0.9363 2.4744
-2.5134 0.2457 -2.4601
-2.3303 -9.5660 1.4252
ATOMIC_POSITIONS angstrom
Y -1.1709 -4.8066 0.7161
Tl -3.0808 -2.1140 0.4102
Tl -0.0869 -0.3566 0.0531
Br -4.0006 -5.8898 0.9727
! * volume: 30.914 Å³/atom
! * Fermi-level density of states: 2.55 states/eV/cell
! * theoretical density: 7.756 g cm⁻³

---

<2>
! YTl2Br (PBE, relaxed); values from VASP
&SYSTEM
  ibrav = 0, nat = 4, ntyp = 3
/
ATOMIC_SPECIES
Br 79.90 Br.upf
Tl 204.38 Tl.upf
Y 88.91 Y.upf
CELL_PARAMETERS angstrom
1.4624 -5.3494 -0.0604
-3.2259 -3.7846 2.4553
-2.8595 -3.6219 -3.0762
ATOMIC_POSITIONS angstrom
Br 0.0000 0.0000 0.0000
Tl -1.1557 -3.1890 -0.1703
Tl -3.4672 -9.5669 -0.5110
Y -2.3115 -6.3779 -0.3407
! * volume: 30.155 Å³/atom
! * Fermi-level density of states: 3.82 states/eV/cell
! * theoretical density: 7.951 g cm⁻³

---

<3>
! YTl2Br (PBE, relaxed); values from VASP
&SYSTEM
  ibrav = 0, nat = 4, ntyp = 3
/
ATOMIC_SPECIES
Y 88.91 Y.upf
Br 79.90 Br.upf
Tl 204.38 Tl.upf
CELL_PARAMETERS angstrom
-0.1174 3.0645 1.9057
-3.2845 -1.3792 -0.5883
0.7223 -5.5374 8.9489
ATOMIC_POSITIONS angstrom
Y 0.3647 -2.7958 4.5183
Br -1.1967 -3.0232 6.9062
Tl 0.0178 -0.1368 0.2211
Tl -1.5043 -0.6650 3.0952
! * volume: 31.790 Å³/atom
! * Fermi-level density of states: 3.25 states/eV/cell
! * theoretical density: 7.542 g cm⁻³

---

We find <1> to be the most stable, with the next structure 0.075 eV/atom higher.